(1)
Material: Cu17Hg
Method: DFT, PBE-GGA
State: relaxed

abc: 5.0825 5.0825 31.6189
angles: 90.00 90.00 120.00
Fractional coordinates of all 36 atoms:
Cu: 0.1672 0.3343 0.2380
Cu: 0.1672 0.8328 0.2380
Cu: 0.6657 0.8328 0.2380
Cu: 0.0000 0.0000 0.3032
Cu: 0.0017 0.5008 0.3041
Cu: 0.4992 0.5008 0.3041
Cu: 0.4992 0.9983 0.3041
Cu: 0.3327 0.1663 0.3691
Cu: 0.8337 0.1663 0.3691
Cu: 0.8337 0.6673 0.3691
Cu: 0.3333 0.6667 0.3705
Cu: 0.6667 0.3333 0.4345
Cu: 0.1662 0.3324 0.4350
Cu: 0.1662 0.8338 0.4350
Cu: 0.6676 0.8338 0.4350
Cu: 0.0000 0.0000 0.5000
Cu: 0.5000 0.0000 0.5000
Cu: 0.0000 0.5000 0.5000
Cu: 0.5000 0.5000 0.5000
Cu: 0.3324 0.1662 0.5650
Cu: 0.8338 0.1662 0.5650
Cu: 0.8338 0.6676 0.5650
Cu: 0.3333 0.6667 0.5655
Cu: 0.6667 0.3333 0.6295
Cu: 0.1663 0.3327 0.6309
Cu: 0.1663 0.8337 0.6309
Cu: 0.6673 0.8337 0.6309
Cu: 0.5008 0.0017 0.6959
Cu: 0.5008 0.4992 0.6959
Cu: 0.9983 0.4992 0.6959
Cu: 0.0000 0.0000 0.6968
Cu: 0.3343 0.1672 0.7620
Cu: 0.8328 0.1672 0.7620
Cu: 0.8328 0.6657 0.7620
Hg: 0.6667 0.3333 0.2074
Hg: 0.3333 0.6667 0.7926

Output
Symmetry = No. 164
E_form = 8.3 kJ/mol of atoms

=====

(2)
Material: Cu15Hg
Method: DFT, PBE-GGA
State: relaxed

abc: 3.6131 3.6137 41.8484
angles: 90.00 90.00 90.00
Fractional coordinates of all 32 atoms:
Cu: 0.5000 0.5000 0.1794
Cu: 0.5000 0.0000 0.2222
Cu: 0.0000 0.5000 0.2222
Cu: 0.5000 0.5000 0.2645
Cu: 0.0000 0.0000 0.2651
Cu: 0.0000 0.5000 0.3076
Cu: 0.5000 0.0000 0.3076
Cu: 0.5000 0.5000 0.3503
Cu: 0.0000 0.0000 0.3504
Cu: 0.0000 0.5000 0.3932
Cu: 0.5000 0.0000 0.3932
Cu: 0.5000 0.5000 0.4359
Cu: 0.0000 0.0000 0.4359
Cu: 0.0000 0.5000 0.4786
Cu: 0.5000 0.0000 0.4786
Cu: 0.0000 0.0000 0.5214
Cu: 0.5000 0.5000 0.5214
Cu: 0.5000 0.0000 0.5641
Cu: 0.0000 0.5000 0.5641
Cu: 0.0000 0.0000 0.6068
Cu: 0.5000 0.5000 0.6068
Cu: 0.5000 0.0000 0.6496
Cu: 0.0000 0.5000 0.6497
Cu: 0.0000 0.0000 0.6924
Cu: 0.5000 0.5000 0.6924
Cu: 0.5000 0.0000 0.7349
Cu: 0.0000 0.5000 0.7355
Cu: 0.5000 0.5000 0.7778
Cu: 0.0000 0.0000 0.7778
Cu: 0.0000 0.5000 0.8206
Hg: 0.0000 0.0000 0.1632
Hg: 0.5000 0.0000 0.8367

Output
Symmetry = No. 51
E_form = 5.5 kJ/mol of atoms
Distance to the lowest polymorph of the same formula = 0 meV/atom

=====

(3)
Material: Cu15Hg
Method: DFT, PBE-GGA
State: relaxed

abc: 5.1328 3.5798 34.0742
angles: 90.00 90.02 90.00
Fractional coordinates of all 32 atoms:
Cu: 0.3748 0.7500 0.0186
Cu: 0.8752 0.7500 0.0187
Cu: 0.1250 0.2500 0.0557
Cu: 0.6250 0.2500 0.0558
Cu: 0.3749 0.7500 0.0932
Cu: 0.8750 0.7500 0.0934
Cu: 0.1250 0.2500 0.1300
Cu: 0.6250 0.2500 0.1307
Cu: 0.3744 0.7500 0.1682
Cu: 0.8756 0.7500 0.1683
Cu: 0.6251 0.2500 0.2049
Cu: 0.1249 0.2500 0.2052
Cu: 0.3770 0.7500 0.2434
Cu: 0.8730 0.7500 0.2435
Cu: 0.6249 0.2500 0.2791
Cu: 0.3751 0.7500 0.7209
Cu: 0.1270 0.2500 0.7565
Cu: 0.6230 0.2500 0.7566
Cu: 0.8751 0.7500 0.7948
Cu: 0.3749 0.7500 0.7951
Cu: 0.1244 0.2500 0.8317
Cu: 0.6256 0.2500 0.8318
Cu: 0.3750 0.7500 0.8693
Cu: 0.8750 0.7500 0.8700
Cu: 0.1250 0.2500 0.9066
Cu: 0.6251 0.2500 0.9068
Cu: 0.3750 0.7500 0.9442
Cu: 0.8750 0.7500 0.9443
Cu: 0.1248 0.2500 0.9813
Cu: 0.6252 0.2500 0.9814
Hg: 0.1250 0.2500 0.2959
Hg: 0.8750 0.7500 0.7041

Output
Symmetry = No. 11
E_form = 8.2 kJ/mol of atoms
Distance to the lowest polymorph of the same formula = 28 meV/atom

=====

How do the records compare in raw total energy? In the order shown, they have -3.44, -3.45, -3.42 eV per atom.
How do the records compare in calculated density? In the order shown, they have 6.01, 7.01, 6.12 Mg/m³.